First-principles (PBE-GGA) data for a geometry-optimized Ni2H6Pt3 structure, as listed in Alexandria via LeMat-Bulk.

Cell lengths 4.789, 4.790, 9.940 Å; angles 76.01, 76.06, 60.00 degrees
Fractional positions:
Ni1 0.335 0.836 0.994
Ni2 0.836 0.336 0.494
Ni3 0.665 0.164 0.006
Ni4 0.164 0.664 0.506
H1 0.019 0.856 0.932
H2 0.356 0.193 0.932
H3 0.694 0.518 0.932
H4 0.193 0.356 0.432
H5 0.856 0.018 0.432
H6 0.518 0.693 0.432
H7 0.981 0.144 0.068
H8 0.644 0.807 0.068
H9 0.306 0.482 0.068
H10 0.807 0.644 0.568
H11 0.144 0.982 0.568
H12 0.482 0.307 0.568
Pt1 0.082 0.919 0.750
Pt2 0.420 0.250 0.750
Pt3 0.751 0.581 0.750
Pt4 0.249 0.419 0.250
Pt5 0.918 0.081 0.250
Pt6 0.580 0.750 0.250

Calculated values
uncorrected energy	-4.55	eV/atom
magnetic moment	0.000	μB/atom